Record 1
This record from Alexandria describes crystalline Pm4DyY8 at its relaxed geometry. The functional is GGA-PBE.

POSCAR file:
```
Pm4DyY8
1.0
3.700 2.136 9.143
-3.700 2.136 9.143
0.000 -4.272 9.143
Pm Dy Y
4 1 8
Direct
0.000 0.000 0.000 Pm
0.000 0.500 0.500 Pm
0.500 0.000 0.500 Pm
0.500 0.500 0.000 Pm
0.500 0.500 0.500 Dy
0.195 0.749 0.749 Y
0.216 0.216 0.216 Y
0.251 0.251 0.805 Y
0.251 0.805 0.251 Y
0.749 0.195 0.749 Y
0.749 0.749 0.195 Y
0.784 0.784 0.784 Y
0.805 0.251 0.251 Y
```


Record 2
This record from Alexandria describes crystalline TmSc6Ni3 at its relaxed geometry. The functional is GGA-PBE.

POSCAR file:
```
TmSc6Ni3
1.0
5.104 -6.026 0.000
5.104 6.026 0.000
0.000 0.000 6.721
Tm Sc Ni
2 12 6
Direct
0.183 0.817 0.500 Tm
0.817 0.183 0.000 Tm
0.086 0.459 0.728 Sc
0.132 0.211 0.379 Sc
0.211 0.132 0.879 Sc
0.272 0.728 0.036 Sc
0.459 0.086 0.228 Sc
0.473 0.527 0.374 Sc
0.527 0.473 0.874 Sc
0.541 0.914 0.728 Sc
0.728 0.272 0.536 Sc
0.789 0.868 0.379 Sc
0.868 0.789 0.879 Sc
0.914 0.541 0.228 Sc
0.076 0.924 0.164 Ni
0.194 0.413 0.095 Ni
0.413 0.194 0.595 Ni
0.587 0.806 0.095 Ni
0.806 0.587 0.595 Ni
0.924 0.076 0.664 Ni
```


Summary of total DFT energy (no corrections) in eV per atom
-5.5884, -6.2536
(order as listed above)
Summary of ΔH_f (0 K) in eV/atom
0.21, -0.27
(order as listed above)